H2BrCl8 | PBE | relaxed

Values from the calculation:
Final energy = -0.16225 Ry/atom

a = 12.851 Å, b = 12.851 Å, c = 3.630 Å
α = 90.78°, β = 90.78°, γ = 36.00°
Sites, in units of the cell vectors:
1 H 0.201 0.201 0.374
2 H 0.799 0.799 0.626
3 Br 0.500 0.500 0.000
4 Cl 0.041 0.041 0.513
5 Cl 0.171 0.171 0.666
6 Cl 0.308 0.308 0.916
7 Cl 0.393 0.393 0.963
8 Cl 0.607 0.607 0.037
9 Cl 0.692 0.692 0.084
10 Cl 0.829 0.829 0.334
11 Cl 0.959 0.959 0.487



HBrCl2 | PBE | relaxed

Values from the calculation:
Energy above the lowest structure with this stoichiometry = 2.79 eV/f.u.

a = 3.633 Å, b = 3.633 Å, c = 21.542 Å
α = 90.00°, β = 90.00°, γ = 120.00°
Sites, in units of the cell vectors:
1 H 0.000 0.000 0.000
2 H 0.333 0.667 0.667
3 H 0.667 0.333 0.333
4 Br 0.000 0.000 0.500
5 Br 0.333 0.667 0.167
6 Br 0.667 0.333 0.833
7 Cl 0.000 0.000 0.389
8 Cl 0.000 0.000 0.611
9 Cl 0.333 0.667 0.055
10 Cl 0.333 0.667 0.278
11 Cl 0.667 0.333 0.722
12 Cl 0.667 0.333 0.945



HBrCl | PBE | relaxed

Values from the calculation:
Energy above the lowest structure with this stoichiometry = 0.50 eV/f.u.

a = 6.965 Å, b = 5.557 Å, c = 8.094 Å
α = 90.00°, β = 90.66°, γ = 90.00°
Sites, in units of the cell vectors:
1 H 0.079 0.000 0.250
2 H 0.421 0.500 0.750
3 H 0.579 0.500 0.250
4 H 0.921 0.000 0.750
5 Br 0.134 0.500 0.751
6 Br 0.366 0.000 0.249
7 Br 0.634 0.000 0.751
8 Br 0.866 0.500 0.249
9 Cl 0.121 0.000 0.750
10 Cl 0.379 0.500 0.250
11 Cl 0.621 0.500 0.750
12 Cl 0.879 0.000 0.250



HBr2Cl | PBE | relaxed

Values from the calculation:
Energy above the lowest structure with this stoichiometry = 0.96 eV/f.u.

a = 6.240 Å, b = 6.240 Å, c = 9.388 Å
α = 90.00°, β = 90.00°, γ = 90.00°
Sites, in units of the cell vectors:
1 H 0.000 0.000 0.000
2 H 0.000 0.500 0.250
3 H 0.500 0.000 0.750
4 H 0.500 0.500 0.500
5 Br 0.124 0.250 0.125
6 Br 0.250 0.624 0.375
7 Br 0.250 0.876 0.875
8 Br 0.376 0.250 0.625
9 Br 0.624 0.750 0.625
10 Br 0.750 0.124 0.875
11 Br 0.750 0.376 0.375
12 Br 0.876 0.750 0.125
13 Cl 0.000 0.000 0.500
14 Cl 0.000 0.500 0.750
15 Cl 0.500 0.000 0.250
16 Cl 0.500 0.500 0.000



HBrCl2 | PBE | relaxed

Values from the calculation:
Energy above the lowest structure with this stoichiometry = 0.00 eV/f.u.

a = 6.325 Å, b = 8.029 Å, c = 5.333 Å
α = 90.00°, β = 94.91°, γ = 90.00°
Sites, in units of the cell vectors:
1 H 0.000 0.000 0.000
2 H 0.500 0.500 0.000
3 Br 0.489 0.000 0.917
4 Br 0.989 0.500 0.917
5 Cl 0.143 0.000 0.197
6 Cl 0.271 0.500 0.693
7 Cl 0.643 0.500 0.197
8 Cl 0.771 0.000 0.693



HBrCl3 | PBE | relaxed

Values from the calculation:
Energy above the lowest structure with this stoichiometry = 0.00 eV/f.u.

a = 6.448 Å, b = 8.563 Å, c = 13.189 Å
α = 90.00°, β = 108.07°, γ = 90.00°
Sites, in units of the cell vectors:
1 H 0.027 0.087 0.322
2 H 0.027 0.413 0.822
3 H 0.973 0.587 0.178
4 H 0.973 0.913 0.678
5 Br 0.496 0.084 0.284
6 Br 0.496 0.416 0.784
7 Br 0.504 0.584 0.216
8 Br 0.504 0.916 0.716
9 Cl 0.113 0.022 0.072
10 Cl 0.113 0.478 0.572
11 Cl 0.209 0.097 0.403
12 Cl 0.209 0.403 0.903
13 Cl 0.263 0.572 0.306
14 Cl 0.263 0.928 0.806
15 Cl 0.737 0.072 0.194
16 Cl 0.737 0.428 0.694
17 Cl 0.791 0.597 0.097
18 Cl 0.791 0.903 0.597
19 Cl 0.887 0.522 0.428
20 Cl 0.887 0.978 0.928



HBrCl | PBE | relaxed

Values from the calculation:
Energy above the lowest structure with this stoichiometry = 0.00 eV/f.u.

a = 4.585 Å, b = 4.914 Å, c = 9.359 Å
α = 91.63°, β = 101.86°, γ = 100.71°
Sites, in units of the cell vectors:
1 H 0.233 0.277 0.009
2 H 0.767 0.723 0.991
3 Br 0.444 0.752 0.524
4 Br 0.556 0.248 0.476
5 Cl 0.162 0.258 0.868
6 Cl 0.838 0.742 0.132



HBr2Cl | PBE | relaxed

Values from the calculation:
Energy above the lowest structure with this stoichiometry = 0.00 eV/f.u.

a = 3.235 Å, b = 3.235 Å, c = 31.340 Å
α = 90.00°, β = 90.00°, γ = 120.00°
Sites, in units of the cell vectors:
1 H 0.000 0.000 0.000
2 H 0.333 0.667 0.667
3 H 0.667 0.333 0.333
4 Br 0.000 0.000 0.055
5 Br 0.000 0.000 0.945
6 Br 0.333 0.667 0.612
7 Br 0.333 0.667 0.722
8 Br 0.667 0.333 0.278
9 Br 0.667 0.333 0.388
10 Cl 0.000 0.000 0.500
11 Cl 0.333 0.667 0.167
12 Cl 0.667 0.333 0.833



Let's list density of states at the Fermi level in order: 8.88 0.78 0.72 1.97 0.00 0.00 0.01 3.90 states/eV/f.u..